Record 1
Compound: Hf3BeBi
Source: the Alexandria database
Functional: PBE-GGA
Structure: optimized geometry

Lattice parameters (Å, degrees): 4.7306 4.7306 4.7306 90.00 90.00 90.00
Last column: nearest neighbours and their distance in Å.
Positions (direct):
Hf1 0.0000 0.5000 0.0000  2 Be 2.37
Hf2 0.5000 0.0000 0.0000  2 Be 2.37
Hf3 0.0000 0.0000 0.5000  2 Be 2.37
Be1 0.0000 0.0000 0.0000  6 Hf 2.37
Bi1 0.5000 0.5000 0.5000  12 Hf 3.35

Calculated values
DFT total energy, eV per atom: -7.3738
Total moment, μB/f.u.: 0.00
Calculated volume, Å³ per cell: 106
Energy above the lowest structure with this stoichiometry, kJ/mol of formula units: 124.7

***

Record 2
Compound: Na2NpPbO6
Source: the Alexandria database
Functional: PBE-GGA
Structure: optimized geometry

Lattice parameters (Å, degrees): 5.7519 5.8856 8.2329 90.00 89.87 90.00
Last column: nearest neighbours and their distance in Å.
Positions (direct):
O1 0.2086 0.1952 0.4514  1 Np 2.07, 1 Pb 2.19
O2 0.1908 0.2125 0.0527  1 Np 2.06, 1 Pb 2.22
O3 0.9028 0.5326 0.2417  1 Np 2.07, 1 Pb 2.21
O4 0.4028 0.9674 0.7417  1 Np 2.07, 1 Pb 2.21
O5 0.3092 0.7125 0.4473  1 Np 2.06, 1 Pb 2.22
O6 0.6908 0.2875 0.5527  1 Np 2.06, 1 Pb 2.22
O7 0.7914 0.8048 0.5486  1 Np 2.07, 1 Pb 2.19
O8 0.5972 0.0326 0.2583  1 Np 2.07, 1 Pb 2.21
O9 0.8092 0.7875 0.9473  1 Np 2.06, 1 Pb 2.22
O10 0.7086 0.3048 0.9514  1 Np 2.07, 1 Pb 2.19
O11 0.2914 0.6952 0.0486  1 Np 2.07, 1 Pb 2.19
O12 0.0972 0.4674 0.7583  1 Np 2.07, 1 Pb 2.21
Na1 0.0086 0.9620 0.2513  4 O 2.40-2.60
Na2 0.9914 0.0380 0.7487  4 O 2.40-2.60
Na3 0.4914 0.4620 0.2487  4 O 2.40-2.60
Na4 0.5086 0.5380 0.7513  4 O 2.40-2.60
Np1 0.5000 0.0000 0.5000  6 O 2.06-2.07
Np2 0.0000 0.5000 0.0000  6 O 2.06-2.07
Pb1 0.0000 0.5000 0.5000  6 O 2.19-2.22
Pb2 0.5000 0.0000 0.0000  6 O 2.19-2.22

Calculated values
DFT total energy, eV per atom: -6.8425
Total moment, μB/f.u.: 1.01
Calculated volume, Å³ per cell: 279
Energy relative to the elements, uncorrected, kJ/mol of formula units: -1871

***

Record 3
Compound: AcNdZn2
Source: the Alexandria database
Functional: PBE-GGA
Structure: optimized geometry

Lattice parameters (Å, degrees): 3.7994 3.7994 7.5943 90.00 90.00 90.00
Last column: nearest neighbours and their distance in Å.
Positions (direct):
Ac1 0.5000 0.5000 0.5000  8 Zn 3.40, 2 Nd 3.80, 4 Ac 3.80
Nd1 0.5000 0.5000 0.0000  8 Zn 3.18
Zn1 0.0000 0.0000 0.7754  4 Nd 3.18, 4 Ac 3.40, 1 Zn 3.41
Zn2 0.0000 0.0000 0.2246  4 Nd 3.18, 4 Ac 3.40, 1 Zn 3.41

Calculated values
DFT total energy, eV per atom: -3.1211
Total moment, μB/f.u.: 0.00
Calculated volume, Å³ per cell: 110

***

Record 4
Compound: PmSmErPu
Source: the Alexandria database
Functional: PBE-GGA
Structure: optimized geometry

Lattice parameters (Å, degrees): 5.6430 5.6430 5.6430 60.00 60.00 60.00
Last column: nearest neighbours and their distance in Å.
Positions (direct):
Er1 0.0000 0.0000 0.0000  4 Pm 3.46, 4 Sm 3.46
Sm1 0.2500 0.2500 0.2500  4 Er 3.46, 4 Pu 3.46
Pm1 0.7500 0.7500 0.7500  4 Er 3.46, 4 Pu 3.46
Pu1 0.5000 0.5000 0.5000  4 Sm 3.46, 4 Pm 3.46

Calculated values
DFT total energy, eV per atom: -6.8824
Total moment, μB/f.u.: 7.49
Calculated volume, Å³ per cell: 127

***

Record 5
Compound: GeBi2Pd8
Source: the Alexandria database
Functional: PBE-GGA
Structure: optimized geometry

Lattice parameters (Å, degrees): 4.6225 5.9944 7.9466 112.16 106.91 90.00
Last column: nearest neighbours and their distance in Å.
Positions (direct):
Pd1 0.6330 0.3911 0.2660  1 Ge 2.42
Pd2 0.3670 0.6089 0.7340  1 Ge 2.42
Pd3 0.0000 0.2351 0.0000  2 Ge 2.71, 7 Pd 2.82-2.97, 2 Bi 2.96
Pd4 0.3670 0.1252 0.7340  1 Ge 2.42
Pd5 0.0000 0.7649 0.0000  2 Ge 2.71, 7 Pd 2.82-2.97, 2 Bi 2.96
Pd6 0.8142 0.8142 0.6283  8 Pd 2.88-2.95, 4 Bi 2.99-3.00
Pd7 0.1858 0.1858 0.3717  8 Pd 2.88-2.95, 4 Bi 2.99-3.00
Pd8 0.6330 0.8748 0.2660  1 Ge 2.42
Bi1 0.1784 0.6784 0.3568  12 Pd 2.80-3.06
Bi2 0.8216 0.3216 0.6432  12 Pd 2.80-3.06
Ge1 0.5000 0.0000 0.0000  8 Pd 2.42-2.71

Calculated values
DFT total energy, eV per atom: -5.1803
Total moment, μB/f.u.: 0.00
Calculated volume, Å³ per cell: 194
Energy above the lowest structure with this stoichiometry, kJ/mol of formula units: 14.3

***

Record 6
Compound: EuZn2Sn
Source: the Alexandria database
Functional: PBE-GGA
Structure: optimized geometry

Lattice parameters (Å, degrees): 5.0130 5.0130 5.0130 60.00 60.00 60.00
Last column: nearest neighbours and their distance in Å.
Positions (direct):
Sn1 0.5000 0.5000 0.5000  8 Zn 3.07
Eu1 0.0000 0.0000 0.0000  8 Zn 3.07
Zn1 0.7500 0.7500 0.7500  4 Eu 3.07, 4 Sn 3.07
Zn2 0.2500 0.2500 0.2500  4 Eu 3.07, 4 Sn 3.07

Calculated values
DFT total energy, eV per atom: -4.4916
Total moment, μB/f.u.: 6.92
Calculated volume, Å³ per cell: 89
Energy above the lowest structure with this stoichiometry, kJ/mol of formula units: 0.0

***

Question: Which value of calculated volume does entry 4 give?
Answer: 127 Å³ per cell

***

Question: Number 1 is which compound?
Answer: Hf3BeBi